1.
CdPAu | GGA-PBE | optimized geometry

The structure belongs to space group P-1 (No. 2); the cell edges are 4.937, 5.572 and 5.815 Å and the angles 104.55°, 112.79° and 104.61°. The asymmetric unit holds Cd at (0.158, 0.416, 0.293), P at (0.315, 0.017, 0.828), Au at (0.500, 0.000, 0.500) and Au at (0.500, 0.500, 0.000).

As for the calculated density: 8.6 Mg/m³. As for the uncorrected energy: -19.5 eV per cell. The value obtained for the energy of formation from the pure elements is -0.043 eV/atom.

---

2.
LaScFe2C | GGA-PBE | optimized geometry

The structure belongs to space group P4/mmm (No. 123); the cell edges are 3.951, 3.951 and 4.930 Å and the angles 90.00°, 90.00° and 90.00°. The asymmetric unit holds La at (0.000, 0.000, 0.000), Sc at (0.500, 0.500, 0.000), Fe at (0.000, 0.500, 0.500) and C at (0.000, 0.000, 0.500).

As for the calculated density: 6.6 Mg/m³. As for the uncorrected energy: -35.2 eV per cell. The value obtained for the energy of formation from the pure elements is 0.434 eV/atom.